(1)
CaHo2NpP4 | PBE | optimized geometry

Cell and atoms, written as POSCAR:
```
CaHo2NpP4
1.0
4.002 0.000 0.000
0.000 6.921 0.149
0.000 -2.392 6.495
Ca Ho Np P
1 2 1 4
direct
0.500 0.500 0.000 Ca
0.500 0.000 0.500 Ho
0.000 0.500 0.500 Ho
0.000 0.000 0.000 Np
0.500 0.242 0.249 P
0.500 0.758 0.751 P
0.000 0.237 0.749 P
0.000 0.763 0.251 P
```

Output
ΔH_f (0 K) = -1.268 eV/atom
Crystal system = monoclinic

(2)
Ca2HoNpS4 | PBE | optimized geometry

Cell and atoms, written as POSCAR:
```
Ca2HoNpS4
1.0
-1.116 -3.227 -1.982
4.419 1.537 -4.991
3.160 -3.989 4.714
Ca Ho Np S
2 1 1 4
direct
0.500 0.000 0.500 Ca
0.000 0.500 0.500 Ca
0.500 0.500 0.000 Ho
0.000 0.000 0.000 Np
0.500 0.251 0.245 S
0.500 0.749 0.755 S
0.000 0.256 0.756 S
0.000 0.744 0.244 S
```

Output
Formation energy without anion corrections = -1.85 eV per atom
Crystal system = monoclinic

What did the first record say?
CaHo2NpP4 | PBE | optimized geometry

Cell and atoms, written as POSCAR:
```
CaHo2NpP4
1.0
4.002 0.000 0.000
0.000 6.921 0.149
0.000 -2.392 6.495
Ca Ho Np P
1 2 1 4
direct
0.500 0.500 0.000 Ca
0.500 0.000 0.500 Ho
0.000 0.500 0.500 Ho
0.000 0.000 0.000 Np
0.500 0.242 0.249 P
0.500 0.758 0.751 P
0.000 0.237 0.749 P
0.000 0.763 0.251 P
```

Output
ΔH_f (0 K) = -1.268 eV/atom
Crystal system = monoclinic